Here is a geometry-optimized CrHgN2F structure from Alexandria via LeMat-Bulk. Energies are from PBE+U.

ΔE to the lowest computed polymorph = 1.0005 eV/atom

Cell and atoms, written as extended XYZ:
```
5
Lattice="4.195 0.000 0.000 0.000 4.195 0.000 0.000 0.000 4.638" Properties=species:S:1:pos:R:3 pbc="T T T"
F 0.000 0.000 2.319
Cr 2.097 2.097 2.319
N 2.097 0.000 0.000
N 0.000 2.097 0.000
Hg 0.000 0.000 0.000
```